# 1
Entry from the Alexandria database: crystalline Ca2ErCd4 at its relaxed geometry (PBE).

Calculated values
formation enthalpy at 0 K = -0.174 eV per atom
DOS(E_F) = 0.88 states/eV/atom

The structure in POSCAR format:
```
Ca2ErCd4
1.0
-4.207 -2.585 -2.267
2.918 -0.790 -4.514
2.956 -4.305 5.934
Ca Cd Er
2 4 1
Cartesian
0.466 -4.565 -2.169
1.202 -3.115 1.322
3.253 -5.047 -0.283
-0.309 -5.944 0.841
-1.586 -2.633 -0.564
1.976 -1.736 -1.688
0.000 0.000 0.000
```



# 2
Entry from the Alexandria database: crystalline Ca2ErCd3 at its relaxed geometry (PBE).

Calculated values
formation enthalpy at 0 K = -0.344 eV per atom
DOS(E_F) = 0.61 states/eV/atom

The structure in POSCAR format:
```
Ca2ErCd3
1.0
5.349 0.000 0.000
-2.675 4.633 0.000
0.000 0.000 6.564
Ca Er Cd
2 1 3
Cartesian
2.675 1.544 2.185
0.000 3.089 4.379
0.000 0.000 0.000
0.000 0.000 3.282
2.675 1.544 5.528
0.000 3.089 1.036
```



# 3
Entry from the Alexandria database: crystalline CaEr2Cd at its relaxed geometry (PBE).

Calculated values
formation enthalpy at 0 K = 0.134 eV per atom
energy above the lowest structure with this stoichiometry = 192 meV/atom
DOS(E_F) = 1.64 states/eV/atom

The structure in POSCAR format:
```
CaEr2Cd
1.0
-0.555 0.458 3.471
1.588 -2.131 2.346
9.464 6.776 2.429
Ca Cd Er
1 1 2
Cartesian
0.000 0.000 0.000
5.248 2.552 4.123
6.824 4.653 2.287
3.672 0.450 5.959
```



# 4
Entry from the Alexandria database: crystalline Ca2ErCd2 at its relaxed geometry (PBE).

Calculated values
formation enthalpy at 0 K = -0.226 eV per atom
DOS(E_F) = 0.89 states/eV/atom

The structure in POSCAR format:
```
Ca2ErCd2
1.0
3.674 0.000 0.000
0.000 3.718 0.704
0.000 -0.185 11.137
Ca Er Cd
2 1 2
Cartesian
0.000 0.523 7.400
0.000 3.009 4.442
0.000 0.000 0.000
1.837 1.518 2.149
1.837 2.015 9.692
```



# 5
Entry from the Alexandria database: crystalline Ca2ErCd8 at its relaxed geometry (PBE).

Calculated values
formation enthalpy at 0 K = -0.221 eV per atom
DOS(E_F) = 0.46 states/eV/atom

The structure in POSCAR format:
```
Ca2ErCd8
1.0
-0.124 -5.213 -1.809
1.003 -1.729 6.068
-8.110 3.568 -0.358
Ca Er Cd
2 1 8
Cartesian
-2.415 -3.667 3.069
-4.816 0.293 0.832
-0.062 -2.606 -0.904
-1.798 -0.155 1.982
-6.300 -1.841 -1.231
-7.596 -1.233 1.508
-3.083 -2.429 0.169
-4.148 -0.944 3.732
0.364 -2.140 2.393
-0.931 -1.532 5.132
-5.433 -3.219 1.919
```



# 6
Entry from the Alexandria database: crystalline CaErCd4 at its relaxed geometry (PBE).

Calculated values
formation enthalpy at 0 K = -0.245 eV per atom
energy above the lowest structure with this stoichiometry = 70 meV/atom
DOS(E_F) = 0.38 states/eV/atom

The structure in POSCAR format:
```
CaErCd4
1.0
-3.494 -0.148 0.218
-1.755 -5.158 -3.487
-1.226 -0.658 8.072
Ca Er Cd
1 1 4
Cartesian
0.000 0.000 0.000
-3.237 -2.982 2.402
-4.812 -3.097 5.242
-1.566 -0.294 2.865
-1.663 -2.867 -0.438
-4.909 -5.670 1.939
```



# 7
Entry from the Alexandria database: crystalline CaEr2Cd at its relaxed geometry (PBE).

Calculated values
formation enthalpy at 0 K = -0.058 eV per atom
energy above the lowest structure with this stoichiometry = 0 meV/atom
DOS(E_F) = 1.45 states/eV/atom

The structure in POSCAR format:
```
CaEr2Cd
1.0
-1.796 -0.828 3.140
3.238 -0.177 1.805
-0.618 8.821 1.973
Ca Cd Er
1 1 2
Cartesian
0.412 3.908 3.459
0.721 -0.503 2.473
-0.495 7.068 1.581
-0.123 1.753 0.392
```



# 8
Entry from the Alexandria database: crystalline Ca2ErCd6 at its relaxed geometry (PBE).

Calculated values
formation enthalpy at 0 K = -0.317 eV per atom
DOS(E_F) = 0.60 states/eV/atom

The structure in POSCAR format:
```
Ca2ErCd6
1.0
3.509 0.000 0.000
0.000 7.503 -4.332
0.000 0.000 8.664
Ca Er Cd
2 1 6
Cartesian
0.000 2.501 4.332
3.509 5.002 0.000
0.000 0.000 8.664
1.755 2.492 1.439
1.755 5.012 2.893
1.755 0.000 5.787
1.755 5.012 -2.893
1.755 2.492 -1.439
1.755 0.000 2.877
```



# 9
Entry from the Alexandria database: crystalline CaEr3Cd6 at its relaxed geometry (PBE).

Calculated values
formation enthalpy at 0 K = -0.280 eV per atom
DOS(E_F) = 0.58 states/eV/atom

The structure in POSCAR format:
```
CaEr3Cd6
1.0
5.185 0.000 0.000
0.000 8.717 -2.679
0.000 0.188 11.065
Ca Er Cd
2 6 12
Cartesian
1.296 8.365 4.203
3.889 0.540 4.183
1.296 4.725 2.926
3.889 4.180 5.460
1.296 3.253 7.901
3.889 5.652 0.485
1.296 6.614 -1.999
3.889 2.291 10.385
1.296 3.880 -0.106
3.889 5.025 8.492
1.296 1.251 1.852
3.889 7.654 6.534
1.296 5.837 6.076
3.889 3.068 2.310
1.296 2.282 4.915
3.889 6.623 3.472
1.296 7.355 1.123
3.889 1.550 7.263
1.296 0.647 9.880
3.889 8.258 -1.494
```



# 10
Entry from the Alexandria database: crystalline CaErCd14 at its relaxed geometry (PBE).

Calculated values
formation enthalpy at 0 K = -0.131 eV per atom
DOS(E_F) = 0.31 states/eV/atom

The structure in POSCAR format:
```
CaErCd14
1.0
6.588 -0.014 0.000
0.014 6.588 0.000
0.000 0.000 8.588
Ca Er Cd
1 1 14
Cartesian
2.476 2.466 4.294
5.777 5.753 4.294
5.777 5.753 0.000
2.476 2.465 0.000
5.770 2.459 4.294
5.770 2.459 0.000
2.483 5.760 4.294
2.483 5.760 0.000
4.130 0.804 2.066
4.130 0.804 6.522
0.822 4.127 2.066
0.822 4.127 6.522
4.138 4.120 2.067
4.138 4.120 6.521
0.814 0.811 2.067
0.814 0.811 6.521
```



# 11
Entry from the Alexandria database: crystalline CaEr2Cd3 at its relaxed geometry (PBE).

Calculated values
formation enthalpy at 0 K = -0.337 eV per atom
DOS(E_F) = 0.61 states/eV/atom

The structure in POSCAR format:
```
CaEr2Cd3
1.0
-3.179 -1.655 1.020
1.853 -1.992 2.546
-1.792 8.203 7.722
Ca Er Cd
1 2 3
Cartesian
-1.559 2.278 5.644
-2.166 5.053 8.256
-0.953 -0.497 3.032
0.000 0.000 0.000
-1.216 5.566 5.239
-0.576 2.637 2.482
```



# 12
Entry from the Alexandria database: crystalline Ca2ErCd3 at its relaxed geometry (PBE).

Calculated values
formation enthalpy at 0 K = -0.343 eV per atom
DOS(E_F) = 0.73 states/eV/atom

The structure in POSCAR format:
```
Ca2ErCd3
1.0
-1.558 -3.352 -0.850
2.501 -1.736 2.263
-7.156 1.105 8.757
Ca Er Cd
2 1 3
Cartesian
-5.469 -1.627 7.976
-0.744 -2.357 2.194
-3.107 -1.992 5.085
0.000 0.000 0.000
-4.691 0.725 5.740
-2.465 0.381 3.017
```